Record 1
This record from Alexandria via LeMat-Bulk describes a relaxed Tm3CuGe3 crystal. The functional is PBE.

Cell and atoms, written as extended XYZ:
```
14
Lattice="5.248 -2.106 0.000 5.248 2.106 0.000 -4.722 0.000 12.867" Properties=species:S:1:pos:R:3 pbc="T T T"
Tm -1.471 0.000 4.903
Tm -3.305 0.000 11.869
Tm 1.481 0.000 2.904
Tm 4.293 0.000 9.963
Tm 9.078 0.000 0.998
Tm 7.244 0.000 7.964
Cu -0.133 0.000 7.788
Cu 5.907 0.000 5.079
Ge 1.669 0.000 5.838
Ge -0.427 0.000 11.891
Ge 1.304 0.000 9.865
Ge 4.469 0.000 3.002
Ge 6.201 0.000 0.976
Ge 4.105 0.000 7.029
```

Computed properties:
DFT formation energy: -5.269 eV per formula unit
Theoretical density: 9.203 g/cm³
E above lowest polymorph: 0 meV per atom
Size of the total moment: 0.00 μB/cell

Record 2
This record from Alexandria via LeMat-Bulk describes a relaxed MgBe2Pt crystal. The functional is PBE.

Cell and atoms, written as extended XYZ:
```
4
Lattice="1.410 0.814 7.875 -1.410 0.814 7.875 0.000 -1.628 7.875" Properties=species:S:1:pos:R:3 pbc="T T T"
Mg 0.000 0.000 0.000
Be 0.000 0.000 5.678
Be 0.000 0.000 11.898
Pt 0.000 0.000 18.016
```

Computed properties:
DFT formation energy: 0.240 eV per formula unit
Theoretical density: 7.273 g/cm³
Size of the total moment: 0.00 μB/cell

Record 3
This record from Alexandria via LeMat-Bulk describes a relaxed MgScBe3 crystal. The functional is PBE.

Cell and atoms, written as extended XYZ:
```
5
Lattice="4.739 0.000 0.000 0.000 4.739 0.000 0.000 0.000 4.739" Properties=species:S:1:pos:R:3 pbc="T T T"
Mg 0.000 0.000 0.000
Sc 2.369 2.369 2.369
Be 0.000 2.369 2.369
Be 2.369 0.000 2.369
Be 2.369 2.369 0.000
```

Computed properties:
DFT formation energy: 7.684 eV per formula unit
Theoretical density: 1.503 g/cm³
E above lowest polymorph: 597 meV per atom
Size of the total moment: 0.00 μB/cell

Record 4
This record from Alexandria via LeMat-Bulk describes a relaxed Cs2SbAsSe4 crystal. The functional is PBE.

Cell and atoms, written as extended XYZ:
```
16
Lattice="-4.444 4.548 6.362 4.444 -4.548 6.362 4.444 4.548 -6.362" Properties=species:S:1:pos:R:3 pbc="T T T"
Cs 0.000 0.000 0.000
Cs -2.222 2.274 3.181
Cs 0.000 4.548 0.000
Cs 2.222 2.274 3.181
Sb 4.444 0.000 0.000
Sb 0.000 0.000 6.362
As 2.222 2.274 -3.181
As 2.222 -2.274 3.181
Se 4.444 -0.471 2.966
Se 4.444 4.076 -2.966
Se 2.542 2.274 -0.348
Se 6.346 2.274 -0.348
Se -1.902 2.274 6.710
Se 1.902 2.274 6.710
Se 0.000 0.471 9.328
Se 0.000 5.019 3.396
```

Computed properties:
Theoretical density: 5.026 g/cm³
Size of the total moment: 0.00 μB/cell
Total energy: -3.5407 eV/atom

Record 5
This record from Alexandria via LeMat-Bulk describes a relaxed ScSiSn3 crystal. The functional is PBE.

Cell and atoms, written as extended XYZ:
```
5
Lattice="5.181 0.000 0.000 0.000 5.181 0.000 0.000 0.000 5.181" Properties=species:S:1:pos:R:3 pbc="T T T"
Sc 0.000 0.000 0.000
Si 2.590 2.590 2.590
Sn 0.000 2.590 2.590
Sn 2.590 0.000 2.590
Sn 2.590 2.590 0.000
```

Computed properties:
Theoretical density: 5.126 g/cm³
E above lowest polymorph: 0 meV per atom
Size of the total moment: 0.00 μB/cell

Record 6
This record from Alexandria via LeMat-Bulk describes a relaxed SiSbOs2 crystal. The functional is PBE.

Cell and atoms, written as extended XYZ:
```
4
Lattice="0.000 3.197 3.197 3.197 0.000 3.197 3.197 3.197 0.000" Properties=species:S:1:pos:R:3 pbc="T T T"
Si 0.000 0.000 0.000
Sb 4.796 4.796 4.796
Os 1.599 1.599 1.599
Os 3.197 3.197 3.197
```

Computed properties:
Theoretical density: 13.473 g/cm³
E above lowest polymorph: 686 meV per atom
Size of the total moment: 0.00 μB/cell

Record 7
This record from Alexandria via LeMat-Bulk describes a relaxed TiAlTc crystal. The functional is PBE.

Cell and atoms, written as extended XYZ:
```
3
Lattice="4.366 0.000 0.000 -2.183 3.781 0.000 0.000 0.000 2.751" Properties=species:S:1:pos:R:3 pbc="T T T"
Ti 0.000 0.000 0.000
Al 2.183 1.260 1.641
Tc 0.000 2.521 0.711
```

Computed properties:
DFT formation energy: -1.302 eV per formula unit
Theoretical density: 6.320 g/cm³
E above lowest polymorph: 20 meV per atom
Size of the total moment: 0.00 μB/cell

Record 8
This record from Alexandria via LeMat-Bulk describes a relaxed CdSiOs3 crystal. The functional is PBE.

Cell and atoms, written as extended XYZ:
```
5
Lattice="4.831 0.000 0.000 0.000 4.831 0.000 0.000 0.000 4.831" Properties=species:S:1:pos:R:3 pbc="T T T"
Cd 0.000 0.000 0.000
Si 2.415 2.415 2.415
Os 0.000 0.000 2.415
Os 0.000 2.415 0.000
Os 2.415 0.000 0.000
```

Computed properties:
Theoretical density: 10.476 g/cm³
E above lowest polymorph: 2157 meV per atom
Size of the total moment: 3.43 μB/cell